The following is a PBE calculation of CsZrPCl2 after structural relaxation, from the Alexandria database.

Cell: 5.3197 5.3197 5.0624 Å, 90.00 90.00 90.00°
Space group P4/mmm (No. 123)
Unique sites:
1 Cs 0.0000 0.0000 0.0000 x1
2 Zr 0.5000 0.5000 0.5000 x1
3 P 0.5000 0.5000 0.0000 x1
4 Cl 0.0000 0.5000 0.5000 x2

Summary:
E above lowest polymorph, kJ/mol of formula units: 0
E_tot, Ha/atom: -0.1810
D(E_F), states/eV per cell: 1.290
E_form (uncorrected), eV/atom: -1.22